[1]
Here is a relaxed structure of La6Pm5 from Alexandria via LeMat-Bulk. Energies are from PBE.

Summary:
The value obtained for the energy relative to the elements is 0.10 eV/atom. Its energy above the lowest structure with this stoichiometry is 0.00 eV/f.u.

a b c (Å): 9.6249 9.6249 9.6249
angles (deg): 144.97 128.10 64.15
Sites, in units of the cell vectors:
La (0.0676, 0.8625, 0.2052)
La (0.2060, 0.5000, 0.7060)
La (0.3427, 0.1375, 0.2052)
La (0.6573, 0.8625, 0.7948)
La (0.7940, 0.5000, 0.2940)
La (0.9324, 0.1375, 0.7948)
Pm (0.2018, 0.7018, 0.5000)
Pm (0.3392, 0.3392, 0.0000)
Pm (0.5000, 0.0000, 0.5000)
Pm (0.6608, 0.6608, 0.0000)
Pm (0.7982, 0.2982, 0.5000)

[2]
Here is a relaxed structure of Mg4Si3 from Alexandria via LeMat-Bulk. Energies are from PBE.

Summary:
The calculation puts the formation energy (no corrections) at 19 kJ/mol of formula units. Its energy above the lowest structure with this stoichiometry is 0.42 eV/f.u.

a b c (Å): 5.3166 7.1585 8.3547
angles (deg): 113.09 98.59 103.74
Sites, in units of the cell vectors:
Mg (0.0000, 0.0000, 0.0000)
Mg (0.0001, 0.4832, 0.9569)
Mg (0.1578, 0.2235, 0.4588)
Mg (0.4131, 0.1384, 0.7814)
Mg (0.4979, 0.9001, 0.3386)
Mg (0.5456, 0.6818, 0.6197)
Mg (0.6529, 0.2578, 0.2169)
Mg (0.9805, 0.7414, 0.3997)
Si (0.0758, 0.6701, 0.7085)
Si (0.2439, 0.4423, 0.2469)
Si (0.4598, 0.8215, 0.9771)
Si (0.5604, 0.5545, 0.0780)
Si (0.7188, 0.3260, 0.5827)
Si (0.8700, 0.0699, 0.6745)

[3]
Here is a relaxed structure of Si2TeRuRh from Alexandria via LeMat-Bulk. Energies are from PBE.

Summary:
The calculation puts the formation energy (no corrections) at 397 kJ/mol of formula units.

a b c (Å): 4.4230 4.4230 5.5102
angles (deg): 90.00 90.00 90.00
Sites, in units of the cell vectors:
Si (0.0000, 0.5000, 0.0000)
Si (0.5000, 0.0000, 0.0000)
Te (0.0000, 0.0000, 0.5000)
Ru (0.5000, 0.5000, 0.5000)
Rh (0.0000, 0.0000, 0.0000)

[4]
Here is a relaxed structure of KPm2Cl6 from Alexandria via LeMat-Bulk. Energies are from PBE.

Summary:
The calculation puts the formation energy (no corrections) at -1725 kJ/mol of formula units.

a b c (Å): 7.8890 7.8890 4.0762
angles (deg): 90.00 90.00 120.00
Sites, in units of the cell vectors:
K (0.0000, 0.0000, 0.0000)
Pm (0.3333, 0.6667, 0.5000)
Pm (0.6667, 0.3333, 0.5000)
Cl (0.0000, 0.3990, 0.0000)
Cl (0.0000, 0.7130, 0.5000)
Cl (0.2870, 0.2870, 0.5000)
Cl (0.3990, 0.0000, 0.0000)
Cl (0.6010, 0.6010, 0.0000)
Cl (0.7130, 0.0000, 0.5000)

[5]
Here is a relaxed structure of TiRhW2 from Alexandria via LeMat-Bulk. Energies are from PBE.

Summary:
The value obtained for the energy relative to the elements is 0.14 eV/atom. Its energy above the lowest structure with this stoichiometry is 0.00 eV/f.u.

a b c (Å): 4.4449 4.4449 4.4449
angles (deg): 60.00 60.00 60.00
Sites, in units of the cell vectors:
Ti (0.0000, 0.0000, 0.0000)
Rh (0.5000, 0.5000, 0.5000)
W (0.2500, 0.2500, 0.2500)
W (0.7500, 0.7500, 0.7500)

[6]
Here is a relaxed structure of LiTa3Ag from Alexandria via LeMat-Bulk. Energies are from PBE.

Summary:
The value obtained for the energy relative to the elements is 1.21 eV/atom. Its energy above the lowest structure with this stoichiometry is 0.00 eV/f.u.

a b c (Å): 4.4225 4.4225 4.4225
angles (deg): 90.00 90.00 90.00
Sites, in units of the cell vectors:
Li (0.0000, 0.0000, 0.0000)
Ta (0.0000, 0.0000, 0.5000)
Ta (0.0000, 0.5000, 0.0000)
Ta (0.5000, 0.0000, 0.0000)
Ag (0.5000, 0.5000, 0.5000)

[7]
Here is a relaxed structure of AcTb2DyY6 from Alexandria via LeMat-Bulk. Energies are from PBE.

Summary:
The value obtained for the energy relative to the elements is 0.13 eV/atom.

a b c (Å): 8.9503 8.9503 9.5782
angles (deg): 92.79 92.79 117.57
Sites, in units of the cell vectors:
Ac (0.0299, 0.9701, 0.7500)
Ac (0.9701, 0.0299, 0.2500)
Tb (0.2010, 0.3130, 0.5507)
Tb (0.3130, 0.2010, 0.0507)
Tb (0.6870, 0.7990, 0.9493)
Tb (0.7990, 0.6870, 0.4493)
Dy (0.4126, 0.5874, 0.2500)
Dy (0.5874, 0.4126, 0.7500)
Y (0.0125, 0.5566, 0.6816)
Y (0.1280, 0.7526, 0.0578)
Y (0.2474, 0.8720, 0.4422)
Y (0.2886, 0.5101, 0.8864)
Y (0.4434, 0.9875, 0.8184)
Y (0.4899, 0.7114, 0.6136)
Y (0.5101, 0.2886, 0.3864)
Y (0.5566, 0.0125, 0.1816)
Y (0.7114, 0.4899, 0.1136)
Y (0.7526, 0.1280, 0.5578)
Y (0.8720, 0.2474, 0.9422)
Y (0.9875, 0.4434, 0.3184)

[8]
Here is a relaxed structure of ScSbTeI2 from Alexandria via LeMat-Bulk. Energies are from PBE.

Summary:
The calculation puts the formation energy (no corrections) at 263 kJ/mol of formula units. Its energy above the lowest structure with this stoichiometry is 3.90 eV/f.u.

a b c (Å): 5.8257 5.8257 6.0254
angles (deg): 90.00 90.00 90.00
Sites, in units of the cell vectors:
Sc (0.0000, 0.0000, 0.0000)
Sb (0.5000, 0.5000, 0.0000)
Te (0.5000, 0.5000, 0.5000)
I (0.0000, 0.5000, 0.5000)
I (0.5000, 0.0000, 0.5000)

[9]
Here is a relaxed structure of ZnGaAu5 from Alexandria via LeMat-Bulk. Energies are from PBE.

Summary:
The value obtained for the energy relative to the elements is -0.13 eV/atom. Its energy above the lowest structure with this stoichiometry is 0.00 eV/f.u.

a b c (Å): 4.8116 4.8116 11.0939
angles (deg): 90.00 90.00 77.54
Sites, in units of the cell vectors:
Zn (0.0000, 0.0000, 0.0000)
Zn (0.0000, 0.0000, 0.5000)
Ga (0.3777, 0.6223, 0.7500)
Ga (0.6223, 0.3777, 0.2500)
Au (0.0384, 0.9616, 0.2500)
Au (0.1656, 0.4430, 0.1085)
Au (0.1656, 0.4430, 0.3915)
Au (0.4430, 0.1656, 0.6085)
Au (0.4430, 0.1656, 0.8915)
Au (0.5570, 0.8344, 0.1085)
Au (0.5570, 0.8344, 0.3915)
Au (0.8344, 0.5570, 0.6085)
Au (0.8344, 0.5570, 0.8915)
Au (0.9616, 0.0384, 0.7500)

[10]
Here is a relaxed structure of CeNpAs2Ru2 from Alexandria via LeMat-Bulk. Energies are from PBE.

Summary:
The value obtained for the energy relative to the elements is -0.65 eV/atom.

a b c (Å): 4.2328 4.2328 7.5418
angles (deg): 90.00 90.00 120.00
Sites, in units of the cell vectors:
Ce (0.0000, 0.0000, 0.0000)
Np (0.0000, 0.0000, 0.5000)
As (0.3333, 0.6667, 0.2335)
As (0.6667, 0.3333, 0.7665)
Ru (0.3333, 0.6667, 0.6924)
Ru (0.6667, 0.3333, 0.3076)

[11]
Here is a relaxed structure of GaCIO2 from Alexandria via LeMat-Bulk. Energies are from PBE.

Summary:
The calculation puts the formation energy (no corrections) at 542 kJ/mol of formula units. Its energy above the lowest structure with this stoichiometry is 2.47 eV/f.u.

a b c (Å): 3.8677 3.8677 4.4058
angles (deg): 90.00 90.00 90.00
Sites, in units of the cell vectors:
Ga (0.0000, 0.0000, 0.0000)
C (0.5000, 0.5000, 0.5000)
I (0.5000, 0.5000, 0.0000)
O (0.0000, 0.5000, 0.5000)
O (0.5000, 0.0000, 0.5000)

Number 1: density 6503 kg/m³, E_tot -4.75 eV/atom, spin magnetization 0.000 μB/atom. Number 2: density 2204 kg/m³, E_tot -3.21 eV/atom, spin magnetization 0.000 μB/atom. Number 3: density 5973 kg/m³, E_tot -5.30 eV/atom, spin magnetization 0.274 μB/atom. Number 4: density 4095 kg/m³, E_tot -4.39 eV/atom, spin magnetization 0.000 μB/atom. Number 5: density 13864 kg/m³, E_tot -10.15 eV/atom, spin magnetization 0.000 μB/atom. Number 6: density 12626 kg/m³, E_tot -6.86 eV/atom, spin magnetization 0.000 μB/atom. Number 7: density 6086 kg/m³, E_tot -5.55 eV/atom, spin magnetization 0.000 μB/atom. Number 8: density 4451 kg/m³, E_tot -2.79 eV/atom, spin magnetization 0.176 μB/atom. Number 9: density 14831 kg/m³, E_tot -3.09 eV/atom, spin magnetization 0.000 μB/atom. Number 10: density 10346 kg/m³, E_tot -8.44 eV/atom, spin magnetization 0.420 μB/atom. Number 11: density 6063 kg/m³, E_tot -3.62 eV/atom, spin magnetization 0.001 μB/atom.